# Co2SiTcO6

A relaxed structure of Co2SiTcO6 (PBE with a Hubbard U, Alexandria).

abc: 5.0860 4.9792 5.3862
angles: 61.10 60.82 59.54
Last column: magnetic moment on the atom in μB.
Positions (direct):
Co1 0.5333 0.5299 0.4075  2.72
Co2 0.0152 0.0125 0.9540  1.16
Si1 0.3241 0.3154 0.0402  0.02
Tc1 0.8178 0.8149 0.5487  2.21
O1 0.5816 0.2165 0.2341  0.07
O2 0.2164 0.9664 0.2588  0.12
O3 0.9708 0.5764 0.2387  0.07
O4 0.4207 0.6946 0.7775  0.09
O5 0.6760 0.1108 0.7770  0.15
O6 0.1058 0.4242 0.7787  0.11

## Properties
Total DFT energy (no corrections) = -7.02 eV/atom
Total magnetization = 7.00 μB/cell